First-principles (PBE) data for a relaxed Sn2S3N2 crystal, as listed in Alexandria.

The structure in POSCAR format:
```
Sn2S3N2
1.0
3.989 0.000 0.000
0.123 6.262 0.000
1.639 2.642 5.635
Sn S N
2 3 2
Direct
0.096 0.152 0.162
0.904 0.848 0.838
0.217 0.562 0.333
0.500 0.000 0.500
0.783 0.438 0.667
0.138 0.805 0.143
0.862 0.195 0.857
```

Computed properties:
Total magnetization ... 0.00 μB per cell
Energy ... -0.3728 Ry per atom
N(E_F) ... 0.301 states/eV/atom
Space-group type ... P-1 (2)
Formation energy without anion corrections ... 1.5 eV per formula unit

***

First-principles (PBE) data for a relaxed TaSnSN2 crystal, as listed in Alexandria.

The structure in POSCAR format:
```
TaSnSN2
1.0
4.029 0.000 0.000
0.000 4.029 0.000
0.000 0.000 4.956
Ta Sn S N
1 1 1 2
Direct
0.000 0.000 0.000
0.500 0.500 0.500
0.500 0.500 0.000
0.000 0.500 0.500
0.500 0.000 0.500
```

Computed properties:
Total magnetization ... 0.85 μB per cell
Energy ... -0.4352 Ry per atom
N(E_F) ... 0.690 states/eV/atom
Energy above the lowest structure with this stoichiometry ... 1.478 eV/atom
Space-group type ... P4/mmm (123)
Formation energy without anion corrections ... 7.0 eV per formula unit

***

First-principles (PBE) data for a relaxed TaSnS2N crystal, as listed in Alexandria.

The structure in POSCAR format:
```
TaSnS2N
1.0
4.939 0.000 0.000
0.000 4.939 0.000
0.000 0.000 3.836
Ta Sn S N
1 1 2 1
Direct
0.000 0.000 0.000
0.500 0.500 0.500
0.000 0.500 0.500
0.500 0.000 0.500
0.500 0.500 0.000
```

Computed properties:
Total magnetization ... 1.68 μB per cell
Energy ... -0.3938 Ry per atom
N(E_F) ... 0.690 states/eV/atom
Energy above the lowest structure with this stoichiometry ... 1.474 eV/atom
Space-group type ... P4/mmm (123)
Formation energy without anion corrections ... 5.6 eV per formula unit

***

First-principles (PBE) data for a relaxed TaSnS2N crystal, as listed in Alexandria.

The structure in POSCAR format:
```
TaSnS2N
1.0
4.971 0.000 0.000
0.000 4.971 0.000
0.000 0.000 3.940
Ta Sn S N
1 1 2 1
Direct
0.000 0.000 0.000
0.500 0.500 0.500
0.000 0.500 0.000
0.500 0.000 0.000
0.000 0.000 0.500
```

Computed properties:
Total magnetization ... 0.00 μB per cell
Energy ... -0.5022 Ry per atom
N(E_F) ... 0.238 states/eV/atom
Energy above the lowest structure with this stoichiometry ... 0.000 eV/atom
Space-group type ... P4/mmm (123)
Formation energy without anion corrections ... -1.7 eV per formula unit

***

First-principles (PBE) data for a relaxed TaSnSN2 crystal, as listed in Alexandria.

The structure in POSCAR format:
```
TaSnSN2
1.0
4.065 0.000 0.000
0.000 4.065 0.000
0.000 0.000 5.100
Ta Sn S N
1 1 1 2
Direct
0.000 0.000 0.000
0.500 0.500 0.500
0.000 0.000 0.500
0.000 0.500 0.000
0.500 0.000 0.000
```

Computed properties:
Total magnetization ... 0.31 μB per cell
Energy ... -0.5439 Ry per atom
N(E_F) ... 0.403 states/eV/atom
Energy above the lowest structure with this stoichiometry ... 0.000 eV/atom
Space-group type ... P4/mmm (123)
Formation energy without anion corrections ... -0.4 eV per formula unit

***

First-principles (PBE) data for a relaxed Tb4SnS2N crystal, as listed in Alexandria.

The structure in POSCAR format:
```
Tb4SnS2N
1.0
-3.560 3.560 3.952
3.560 -3.560 3.952
3.560 3.560 -3.952
Tb Sn S N
4 1 2 1
Direct
0.019 0.651 0.000
0.349 0.349 0.368
0.651 0.019 0.000
0.981 0.981 0.632
0.500 0.500 0.000
0.250 0.750 0.500
0.750 0.250 0.500
0.000 0.000 0.000
```

Computed properties:
Total magnetization ... 0.00 μB per cell
Energy ... -0.4609 Ry per atom
N(E_F) ... 0.533 states/eV/atom
Space-group type ... I-42m (121)
Formation energy without anion corrections ... -11.1 eV per formula unit